Run i
A relaxed structure of AlCuGePt. Source: the Open Quantum Materials Database, functional PBE-GGA.

a = 6.2458 Å, b = 6.2458 Å, c = 6.2458 Å
α = 90.00°, β = 90.00°, γ = 90.00°
Element x y z (fractional)
Al  0.0000  0.0000  0.0000
Al  0.0000  0.5000  0.5000
Al  0.5000  0.0000  0.5000
Al  0.5000  0.5000  0.0000
Cu  0.0000  0.0000  0.5000
Cu  0.0000  0.5000  0.0000
Cu  0.5000  0.0000  0.0000
Cu  0.5000  0.5000  0.5000
Ge  0.2500  0.2500  0.2500
Ge  0.2500  0.7500  0.7500
Ge  0.7500  0.2500  0.7500
Ge  0.7500  0.7500  0.2500
Pt  0.2500  0.2500  0.7500
Pt  0.2500  0.7500  0.2500
Pt  0.7500  0.2500  0.2500
Pt  0.7500  0.7500  0.7500

Output
The space group is F-43m, No. 216. The magnetization comes out at 0.004 μB per cell.

=====

Run ii
A relaxed structure of AlCuGePt. Source: the Open Quantum Materials Database, functional PBE-GGA.

a = 6.1921 Å, b = 6.1921 Å, c = 6.1921 Å
α = 90.00°, β = 90.00°, γ = 90.00°
Element x y z (fractional)
Al  0.0000  0.0000  0.0000
Al  0.0000  0.5000  0.5000
Al  0.5000  0.0000  0.5000
Al  0.5000  0.5000  0.0000
Cu  0.2500  0.2500  0.7500
Cu  0.2500  0.7500  0.2500
Cu  0.7500  0.2500  0.2500
Cu  0.7500  0.7500  0.7500
Ge  0.0000  0.0000  0.5000
Ge  0.0000  0.5000  0.0000
Ge  0.5000  0.0000  0.0000
Ge  0.5000  0.5000  0.5000
Pt  0.2500  0.2500  0.2500
Pt  0.2500  0.7500  0.7500
Pt  0.7500  0.2500  0.7500
Pt  0.7500  0.7500  0.2500

Output
The space group is F-43m, No. 216. The magnetization comes out at 0.000 μB per cell.

=====

Most stable of them? run ii.

=====

Run i
A relaxed structure of HfAlCuHg. Source: the Open Quantum Materials Database, functional PBE-GGA.

a = 6.5655 Å, b = 6.5655 Å, c = 6.5655 Å
α = 90.00°, β = 90.00°, γ = 90.00°
Element x y z (fractional)
Hf  0.0000  0.0000  0.0000
Hf  0.0000  0.5000  0.5000
Hf  0.5000  0.0000  0.5000
Hf  0.5000  0.5000  0.0000
Al  0.0000  0.0000  0.5000
Al  0.0000  0.5000  0.0000
Al  0.5000  0.0000  0.0000
Al  0.5000  0.5000  0.5000
Cu  0.2500  0.2500  0.7500
Cu  0.2500  0.7500  0.2500
Cu  0.7500  0.2500  0.2500
Cu  0.7500  0.7500  0.7500
Hg  0.2500  0.2500  0.2500
Hg  0.2500  0.7500  0.7500
Hg  0.7500  0.2500  0.7500
Hg  0.7500  0.7500  0.2500

Output
The space group is F-43m, No. 216. The magnetization comes out at 0.002 μB per cell.

=====

Run ii
A relaxed structure of HfAlCuHg. Source: the Open Quantum Materials Database, functional PBE-GGA.

a = 6.5963 Å, b = 6.5963 Å, c = 6.5963 Å
α = 90.00°, β = 90.00°, γ = 90.00°
Element x y z (fractional)
Hf  0.0000  0.0000  0.0000
Hf  0.0000  0.5000  0.5000
Hf  0.5000  0.0000  0.5000
Hf  0.5000  0.5000  0.0000
Al  0.2500  0.2500  0.2500
Al  0.2500  0.7500  0.7500
Al  0.7500  0.2500  0.7500
Al  0.7500  0.7500  0.2500
Cu  0.0000  0.0000  0.5000
Cu  0.0000  0.5000  0.0000
Cu  0.5000  0.0000  0.0000
Cu  0.5000  0.5000  0.5000
Hg  0.2500  0.2500  0.7500
Hg  0.2500  0.7500  0.2500
Hg  0.7500  0.2500  0.2500
Hg  0.7500  0.7500  0.7500

Output
The space group is F-43m, No. 216. The magnetization comes out at 0.000 μB per cell.

=====

Most stable of them? run i.

=====

Run i
A relaxed structure of LiHfAlCu. Source: the Open Quantum Materials Database, functional PBE-GGA.

a = 6.1939 Å, b = 6.1939 Å, c = 6.1939 Å
α = 90.00°, β = 90.00°, γ = 90.00°
Element x y z (fractional)
Li  0.0000  0.0000  0.0000
Li  0.0000  0.5000  0.5000
Li  0.5000  0.0000  0.5000
Li  0.5000  0.5000  0.0000
Hf  0.2500  0.2500  0.7500
Hf  0.2500  0.7500  0.2500
Hf  0.7500  0.2500  0.2500
Hf  0.7500  0.7500  0.7500
Al  0.2500  0.2500  0.2500
Al  0.2500  0.7500  0.7500
Al  0.7500  0.2500  0.7500
Al  0.7500  0.7500  0.2500
Cu  0.0000  0.0000  0.5000
Cu  0.0000  0.5000  0.0000
Cu  0.5000  0.0000  0.0000
Cu  0.5000  0.5000  0.5000

Output
The space group is F-43m, No. 216. The magnetization comes out at 0.001 μB per cell.

=====

Run ii
A relaxed structure of LiHfAlCu. Source: the Open Quantum Materials Database, functional PBE-GGA.

a = 6.3115 Å, b = 6.3115 Å, c = 6.3115 Å
α = 90.00°, β = 90.00°, γ = 90.00°
Element x y z (fractional)
Li  0.0000  0.0000  0.0000
Li  0.0000  0.5000  0.5000
Li  0.5000  0.0000  0.5000
Li  0.5000  0.5000  0.0000
Hf  0.2500  0.2500  0.2500
Hf  0.2500  0.7500  0.7500
Hf  0.7500  0.2500  0.7500
Hf  0.7500  0.7500  0.2500
Al  0.0000  0.0000  0.5000
Al  0.0000  0.5000  0.0000
Al  0.5000  0.0000  0.0000
Al  0.5000  0.5000  0.5000
Cu  0.2500  0.2500  0.7500
Cu  0.2500  0.7500  0.2500
Cu  0.7500  0.2500  0.2500
Cu  0.7500  0.7500  0.7500

Output
The space group is F-43m, No. 216. The magnetization comes out at 0.022 μB per cell.

=====

Most stable of them? run i.

=====

Run i
A relaxed structure of HfAlCuOs. Source: the Open Quantum Materials Database, functional PBE-GGA.

a = 6.2710 Å, b = 6.2710 Å, c = 6.2710 Å
α = 90.00°, β = 90.00°, γ = 90.00°
Element x y z (fractional)
Hf  0.0000  0.0000  0.0000
Hf  0.0000  0.5000  0.5000
Hf  0.5000  0.0000  0.5000
Hf  0.5000  0.5000  0.0000
Al  0.0000  0.0000  0.5000
Al  0.0000  0.5000  0.0000
Al  0.5000  0.0000  0.0000
Al  0.5000  0.5000  0.5000
Cu  0.2500  0.2500  0.7500
Cu  0.2500  0.7500  0.2500
Cu  0.7500  0.2500  0.2500
Cu  0.7500  0.7500  0.7500
Os  0.2500  0.2500  0.2500
Os  0.2500  0.7500  0.7500
Os  0.7500  0.2500  0.7500
Os  0.7500  0.7500  0.2500

Output
The space group is F-43m, No. 216. The magnetization comes out at 0.002 μB per cell.

=====

Run ii
A relaxed structure of HfAlCuOs. Source: the Open Quantum Materials Database, functional PBE-GGA.

a = 6.3127 Å, b = 6.3127 Å, c = 6.3127 Å
α = 90.00°, β = 90.00°, γ = 90.00°
Element x y z (fractional)
Hf  0.0000  0.0000  0.0000
Hf  0.0000  0.5000  0.5000
Hf  0.5000  0.0000  0.5000
Hf  0.5000  0.5000  0.0000
Al  0.2500  0.2500  0.2500
Al  0.2500  0.7500  0.7500
Al  0.7500  0.2500  0.7500
Al  0.7500  0.7500  0.2500
Cu  0.0000  0.0000  0.5000
Cu  0.0000  0.5000  0.0000
Cu  0.5000  0.0000  0.0000
Cu  0.5000  0.5000  0.5000
Os  0.2500  0.2500  0.7500
Os  0.2500  0.7500  0.2500
Os  0.7500  0.2500  0.2500
Os  0.7500  0.7500  0.7500

Output
The space group is F-43m, No. 216. The magnetization comes out at 0.006 μB per cell.

=====

Most stable of them? run i.